PBE-GGA LaCu2Pb, optimized geometry; ΔE_f = -177 meV per atom; E_tot = -4.38 eV/atom
1.0
4.514 0.000 0.000
0.000 4.689 -0.182
0.000 2.006 4.242
Cu La Pb
2 1 1
Direct
0.000 0.061 0.061 Cu
0.500 0.172 0.172 Cu
0.000 0.451 0.451 La
0.500 0.815 0.815 Pb



PBE-GGA PO2F2, optimized geometry; energy above the lowest structure with this stoichiometry = 0.385 eV per atom; E_tot = -4.33 eV/atom; ΔE_f (raw) = -0.516 eV per atom
1.0
5.427 0.000 0.000
0.000 5.427 0.000
2.714 2.714 2.620
P O F
1 2 2
Direct
0.000 0.000 0.000 P
0.275 0.275 0.450 O
0.725 0.725 0.550 O
0.750 0.250 0.500 F
0.250 0.750 0.500 F



Number 1: N(E_F) 1.5 states/eV/cell, size of the total moment 0.00 μB per formula unit. Number 2: N(E_F) 3.3 states/eV/cell, size of the total moment 1.00 μB per formula unit.